1.
Pm2YTmTe5 after structural relaxation, computed with PBE.

* DFT total energy: -43.36 eV per cell
* formation energy without anion corrections: -0.8013 eV per atom

Cell: 5.492 5.492 11.515 Å, 90.00 90.00 90.00°
Space group P4/mmm (No. 123)
Symmetry-distinct sites (fractional):
Pm  0.000  0.000  0.161 x2
Y  0.500  0.500  0.500 x1
Tm  0.500  0.500  0.000 x1
Te  0.000  0.000  0.500 x1
Te  0.000  0.500  0.000 x2
Te  0.500  0.500  0.253 x2

***

2.
Ce8As4Se3S after structural relaxation, computed with PBE.

* DFT total energy: -321.64 eV per cell
* formation energy without anion corrections: -1.6602 eV per atom

Cell: 8.4071 8.4071 20.4915 Å, 90.00 90.00 120.00°
Space group R-3m (No. 166, hexagonal axes)
Symmetry-distinct sites (fractional):
Ce  0.0000  0.0000  0.2485 x6
Ce  0.0054  0.5027  0.7502 x18
As  0.0000  0.0000  0.5000 x3
As  0.0000  0.5000  0.5000 x9
Se  0.0000  0.5000  0.0000 x9
S  0.0000  0.0000  0.0000 x3

***

3.
SrBi5Rh3 after structural relaxation, computed with PBE.

* DFT total energy: -178.27 eV per cell

Cell: 12.441 8.808 10.168 Å, 90.00 113.10 90.00°
Space group C2/m (No. 12)
Symmetry-distinct sites (fractional):
Sr  0.108  0.000  0.302 x4
Bi  0.000  0.304  0.000 x4
Bi  0.086  0.500  0.387 x4
Bi  0.166  0.204  0.650 x8
Bi  0.229  0.000  0.022 x4
Rh  0.000  0.000  0.000 x2
Rh  0.000  0.000  0.500 x2
Rh  0.147  0.500  0.696 x4
Rh  0.169  0.500  0.171 x4

***

4.
CaMgN after structural relaxation, computed with PBE.

* E above lowest polymorph: 0.4309 eV/atom
* DFT total energy: -49.56 eV per cell
* formation energy without anion corrections: -0.1564 eV per atom

Cell: 5.792 5.792 5.792 Å, 90.00 90.00 90.00°
Space group F-43m (No. 216)
Symmetry-distinct sites (fractional):
Ca  0.000  0.000  0.000 x4
Mg  0.000  0.000  0.500 x4
N  0.250  0.250  0.250 x4

***

5.
BaLaY2Ru after structural relaxation, computed with PBE.

* DFT total energy: -29.63 eV per cell

Cell: 5.641 5.641 5.542 Å, 90.00 90.00 90.00°
Space group P4/mmm (No. 123)
Symmetry-distinct sites (fractional):
Ba  0.000  0.000  0.000 x1
La  0.500  0.500  0.000 x1
Y  0.000  0.500  0.500 x2
Ru  0.500  0.500  0.500 x1

***

6.
NaLi2ZnN after structural relaxation, computed with PBE.

* DFT total energy: -14.78 eV per cell
* formation energy without anion corrections: -0.0072 eV per atom

Cell: 4.255 4.255 4.154 Å, 90.00 90.00 90.00°
Space group P4/mmm (No. 123)
Symmetry-distinct sites (fractional):
Na  0.000  0.000  0.000 x1
Li  0.000  0.500  0.500 x2
Zn  0.500  0.500  0.000 x1
N  0.500  0.500  0.500 x1

***

- The lowest DFT total energy belongs to which entry?
  Ce8As4Se3S

***

- DFT total energy of number 5 (BaLaY2Ru)?
  -29.63 eV per cell

***

- Which value of DFT total energy does entry 2 give?
  -321.64 eV per cell